Entry from Alexandria via LeMat-Bulk: a relaxed Ac2YSe3 crystal (PBE).

Cell and atoms, written as POSCAR:
```
Ac2YSe3
1.0
-1.642 -7.011 -2.287
2.683 3.920 -5.875
11.410 -2.209 7.025
Ac Y Se
8 4 12
Direct
0.998 0.498 0.995
0.420 0.420 0.839
0.830 0.330 0.661
0.252 0.252 0.505
0.748 0.748 0.495
0.670 0.170 0.339
0.580 0.580 0.161
0.502 0.002 0.005
0.917 0.917 0.833
0.333 0.833 0.667
0.167 0.667 0.333
0.083 0.083 0.167
0.164 0.683 0.825
0.662 0.142 0.825
0.086 0.067 0.675
0.588 0.608 0.675
0.024 0.524 0.500
0.476 0.976 0.500
0.392 0.412 0.325
0.933 0.914 0.325
0.858 0.338 0.175
0.317 0.836 0.175
0.226 0.226 0.000
0.774 0.774 0.000
```

Crystal system: orthorhombic
Fermi-level density of states (states/eV per cell): 12.360
Magnetic moment (μB per formula unit): 0.00
Electronic total energy (eV/cell): -144.1
E_form (uncorrected) (eV per formula unit): -10.90
SG: Fddd